No. 1
Here is crystalline AcPr6Th2 at its relaxed geometry from the Alexandria database. Energies are from PBE-GGA.

Geometry as POSCAR:
```
AcPr6Th2
1.0
3.6859 0.0000 0.0000
-1.8430 3.1921 0.0000
0.0000 0.0000 27.8609
Ac Pr Th
1 6 2
direct
0.0000 0.0000 0.0000
0.0000 0.0000 0.2259
0.0000 0.0000 0.4370
0.0000 0.0000 0.5630
0.0000 0.0000 0.7741
0.3333 0.6667 0.1150
0.3333 0.6667 0.8850
0.3333 0.6667 0.3327
0.3333 0.6667 0.6673
```

Properties
ΔH_f (0 K): 0.09 eV per atom
VASP energy: -46.8 eV/cell
Total magnetization: 0.00 μB per formula unit


No. 2
Here is crystalline DyTm2Pa at its relaxed geometry from the Alexandria database. Energies are from PBE-GGA.

Geometry as POSCAR:
```
DyTm2Pa
1.0
5.7178 0.0000 0.0000
0.0000 5.7178 0.0000
0.0000 0.0000 3.5311
Dy Tm Pa
1 2 1
direct
0.0000 0.0000 0.0000
0.0000 0.5000 0.5000
0.5000 0.0000 0.5000
0.5000 0.5000 0.0000
```

Properties
ΔH_f (0 K): 0.28 eV per atom
VASP energy: -21.9 eV/cell
Total magnetization: 0.09 μB per formula unit


No. 3
Here is crystalline DyVNi4 at its relaxed geometry from the Alexandria database. Energies are from PBE-GGA.

Geometry as POSCAR:
```
DyVNi4
1.0
0.0000 3.4651 3.4651
3.4651 0.0000 3.4651
3.4651 3.4651 0.0000
Dy V Ni
1 1 4
direct
0.0000 0.0000 0.0000
0.7500 0.7500 0.7500
0.3763 0.3763 0.3763
0.3763 0.3763 0.8712
0.3763 0.8712 0.3763
0.8712 0.3763 0.3763
```

Properties
ΔH_f (0 K): -0.18 eV per atom
VASP energy: -37.9 eV/cell
Total magnetization: 2.39 μB per formula unit


No. 4
Here is crystalline CoCuAg2Au at its relaxed geometry from the Alexandria database. Energies are from PBE-GGA.

Geometry as POSCAR:
```
CoCuAg2Au
1.0
5.1300 0.0000 0.0000
0.0000 5.1300 0.0000
0.0000 0.0000 4.7420
Co Cu Ag Au
1 1 2 1
direct
0.0000 0.0000 0.0000
0.5000 0.5000 0.0000
0.0000 0.5000 0.5000
0.5000 0.0000 0.5000
0.0000 0.0000 0.5000
```

Properties
ΔH_f (0 K): 1.21 eV per atom
VASP energy: -14.1 eV/cell
Total magnetization: 2.09 μB per formula unit


No. 5
Here is crystalline NaAsO2 at its relaxed geometry from the Alexandria database. Energies are from PBE-GGA.

Geometry as POSCAR:
```
NaAsO2
1.0
5.8899 0.0000 0.0000
0.0000 3.8598 0.0000
-2.3491 0.0000 6.2967
Na As O
2 2 4
direct
0.1002 0.2500 0.3187
0.8998 0.7500 0.6813
0.4760 0.2500 0.8718
0.5240 0.7500 0.1282
0.1890 0.2500 0.6894
0.2920 0.7500 0.2236
0.7080 0.2500 0.7764
0.8110 0.7500 0.3106
```

Properties
VASP energy: -42.3 eV/cell
Total magnetization: 0.00 μB per formula unit
Formation energy without anion corrections: -5.2 eV/f.u.


No. 6
Here is crystalline Cs2TcCl5F at its relaxed geometry from the Alexandria database. Energies are from PBE-GGA.

Geometry as POSCAR:
```
Cs2TcCl5F
1.0
-3.6878 3.6878 5.2653
3.6878 -3.6878 5.2653
3.6878 3.6878 -5.2653
Cs Tc Cl F
2 1 5 1
direct
0.0000 0.5000 0.5000
0.5000 0.0000 0.5000
0.2507 0.2507 0.0000
0.0199 0.0199 0.5431
0.0199 0.4768 0.0000
0.4762 0.4762 0.0000
0.4768 0.0199 0.0000
0.4768 0.4768 0.4569
0.0639 0.0639 0.0000
```

Properties
VASP energy: -37.4 eV/cell
Total magnetization: 3.00 μB per formula unit
Formation energy without anion corrections: -14.2 eV/f.u.


> Look up the total magnetization of the third one.

2.39 μB per formula unit


> What is the formula in the second record?

DyTm2Pa


> Among the records above, which one has the lowest VASP energy?

AcPr6Th2


> Which value of VASP energy does entry 3 give?

-37.9 eV/cell